# HoCuRh2

A relaxed structure of HoCuRh2 (PBE-GGA, Alexandria).

Properties
Excess energy over the best structure of this formula in the dataset ... 0 meV per atom
Calculated density ... 11.2 g/cm³
Calculated total energy ... -25.279 eV/cell
Formation energy ... -10.97 kcal/mol of atoms
N(E_F) ... 4.9 states/eV per cell
Total magnetization ... 0.0 μB per formula unit

abc: 3.905 4.069 4.069
angles: 90.00 90.00 90.00
Fractional coordinates of all 4 atoms:
1 Rh 0.000 0.500 0.000
2 Rh 0.000 0.000 0.500
3 Cu 0.500 0.000 0.000
4 Ho 0.500 0.500 0.500